# TaAlF3 PBE-GGA relaxed
# DFT total energy ... -5.61 eV/atom
# Formation energy (no corrections) ... -1.36 eV per atom
# ΔE to the lowest computed polymorph ... 0 meV per atom
# N(E_F) ... 0.527 states/eV/atom
data_TaAlF3
_chemical_formula_sum 'Ta1 Al1 F3'
_symmetry_space_group_name_H-M 'P m -3 m'
_symmetry_Int_Tables_number 221
_symmetry_space_group_name_Hall '-P 4 2 3'
_cell_length_a 4.316
_cell_length_b 4.316
_cell_length_c 4.316
_cell_angle_alpha 90.00
_cell_angle_beta 90.00
_cell_angle_gamma 90.00
loop_
_atom_site_label
_atom_site_type_symbol
_atom_site_fract_x
_atom_site_fract_y
_atom_site_fract_z
Ta1 Ta 0.000 0.000 0.000
Al1 Al 0.500 0.500 0.500
F1 F 0.000 0.000 0.500